Material: VCrBi2O6
Method: DFT, PBE with a Hubbard U
State: relaxed

Summary:
Its total energy is -137.2 eV/cell. As for the volume: 246.8 Å³ per cell. For the magnetization, the calculation gives 10.00 μB per cell.

a = 5.467 Å, b = 5.745 Å, c = 9.568 Å
α = 90.00°, β = 124.76°, γ = 90.00°
Positions (direct):
1 V 0.000 0.000 0.000
2 V 0.000 0.500 0.500
3 Cr 0.500 0.000 0.500
4 Cr 0.500 0.500 0.000
5 Bi 0.258 0.049 0.747
6 Bi 0.258 0.451 0.247
7 Bi 0.742 0.549 0.753
8 Bi 0.742 0.951 0.253
9 O 0.154 0.031 0.251
10 O 0.154 0.469 0.751
11 O 0.235 0.694 0.043
12 O 0.235 0.806 0.543
13 O 0.355 0.204 0.051
14 O 0.355 0.296 0.551
15 O 0.645 0.704 0.449
16 O 0.645 0.796 0.949
17 O 0.765 0.194 0.457
18 O 0.765 0.306 0.957
19 O 0.846 0.531 0.249
20 O 0.846 0.969 0.749